Here is a relaxed structure of K3CaS2O8 from Alexandria via LeMat-Bulk. Energies are from PBE.

Cell: 5.914 5.914 8.192 Å, 90.00 90.00 120.00°
Positions (direct):
K1 0.000 0.000 0.000
K2 0.333 0.667 0.749
K3 0.667 0.333 0.251
Ca1 0.000 0.000 0.500
S1 0.333 0.667 0.280
S2 0.667 0.333 0.720
O1 0.195 0.389 0.342
O2 0.195 0.805 0.342
O3 0.333 0.667 0.099
O4 0.389 0.195 0.658
O5 0.611 0.805 0.342
O6 0.667 0.333 0.901
O7 0.805 0.195 0.658
O8 0.805 0.611 0.658

Computed properties:
Total moment: 0.00 Bohr magnetons per cell
ΔE_f (raw): -1.777 eV/atom
Space group: No. 164

***

Here is a relaxed structure of K4CaSb3O12 from Alexandria via LeMat-Bulk. Energies are from PBE.

Cell: 7.234 7.234 7.234 Å, 109.47 109.47 109.47°
Positions (direct):
K1 0.000 0.000 0.500
K2 0.000 0.500 0.000
K3 0.500 0.000 0.000
K4 0.500 0.500 0.500
Ca1 0.000 0.000 0.000
Sb1 0.000 0.500 0.500
Sb2 0.500 0.000 0.500
Sb3 0.500 0.500 0.000
O1 0.000 0.272 0.272
O2 0.000 0.728 0.728
O3 0.250 0.500 0.750
O4 0.250 0.750 0.500
O5 0.272 0.000 0.272
O6 0.272 0.272 0.000
O7 0.500 0.250 0.750
O8 0.500 0.750 0.250
O9 0.728 0.000 0.728
O10 0.728 0.728 0.000
O11 0.750 0.250 0.500
O12 0.750 0.500 0.250

Computed properties:
Total moment: 3.03 Bohr magnetons per cell
ΔE_f (raw): -1.490 eV/atom
Space group: No. 229

***

Here is a relaxed structure of K2CaSb2O6 from Alexandria via LeMat-Bulk. Energies are from PBE.

Cell: 6.237 6.237 7.322 Å, 116.98 116.98 61.79°
Positions (direct):
K1 0.201 0.201 0.164
K2 0.799 0.799 0.836
Ca1 0.000 0.000 0.500
Sb1 0.456 0.456 0.778
Sb2 0.544 0.544 0.222
O1 0.202 0.690 0.234
O2 0.250 0.250 0.584
O3 0.310 0.798 0.766
O4 0.690 0.202 0.234
O5 0.750 0.750 0.416
O6 0.798 0.310 0.766

Computed properties:
Total moment: 0.00 Bohr magnetons per cell
ΔE_f (raw): -1.673 eV/atom
Space group: No. 12

***

Here is a relaxed structure of KCaSbO4 from Alexandria via LeMat-Bulk. Energies are from PBE.

Cell: 6.835 6.835 6.835 Å, 123.99 115.94 90.20°
Positions (direct):
K1 0.500 0.000 0.000
K2 0.500 0.500 0.500
Ca1 0.000 0.000 0.000
Ca2 0.500 0.000 0.500
Sb1 0.111 0.361 0.750
Sb2 0.889 0.639 0.250
O1 0.213 0.248 0.965
O2 0.217 0.752 0.465
O3 0.230 0.236 0.506
O4 0.230 0.724 0.994
O5 0.770 0.276 0.006
O6 0.770 0.764 0.494
O7 0.783 0.248 0.535
O8 0.787 0.752 0.035

Computed properties:
Total moment: 0.00 Bohr magnetons per cell
ΔE_f (raw): -1.875 eV/atom
Space group: No. 74

***

Here is a relaxed structure of K2CaSbO4 from Alexandria via LeMat-Bulk. Energies are from PBE.

Cell: 6.229 6.229 6.229 Å, 121.81 121.81 86.89°
Positions (direct):
K1 0.000 0.000 0.000
K2 0.750 0.250 0.500
Ca1 0.500 0.500 0.000
Sb1 0.250 0.750 0.500
O1 0.205 0.096 0.565
O2 0.360 0.795 0.891
O3 0.531 0.640 0.435
O4 0.904 0.469 0.109

Computed properties:
Total moment: 0.00 Bohr magnetons per cell
ΔE_f (raw): -1.777 eV/atom
Space group: No. 82

***

Here is a relaxed structure of KCaSbO3 from Alexandria via LeMat-Bulk. Energies are from PBE.

Cell: 6.574 3.523 9.853 Å, 90.00 96.80 90.00°
Positions (direct):
K1 0.045 0.250 0.151
K2 0.955 0.750 0.849
Ca1 0.459 0.750 0.864
Ca2 0.541 0.250 0.136
Sb1 0.277 0.250 0.553
Sb2 0.723 0.750 0.447
O1 0.231 0.250 0.744
O2 0.324 0.750 0.067
O3 0.451 0.750 0.589
O4 0.549 0.250 0.411
O5 0.676 0.250 0.933
O6 0.769 0.750 0.256

Computed properties:
Total moment: 0.14 Bohr magnetons per cell
ΔE_f (raw): -1.843 eV/atom
Space group: No. 11

***

Here is a relaxed structure of K3CaSb2O6 from Alexandria via LeMat-Bulk. Energies are from PBE.

Cell: 6.254 6.254 7.160 Å, 90.00 90.00 120.00°
Positions (direct):
K1 0.000 0.000 0.000
K2 0.333 0.667 0.645
K3 0.667 0.333 0.355
Ca1 0.000 0.000 0.500
Sb1 0.333 0.667 0.181
Sb2 0.667 0.333 0.819
O1 0.173 0.346 0.300
O2 0.173 0.827 0.300
O3 0.346 0.173 0.700
O4 0.654 0.827 0.300
O5 0.827 0.173 0.700
O6 0.827 0.654 0.700

Computed properties:
Total moment: 0.99 Bohr magnetons per cell
ΔE_f (raw): -1.712 eV/atom
Space group: No. 164

***

Here is a relaxed structure of KCaTbSbO6 from Alexandria via LeMat-Bulk. Energies are from PBE.

Cell: 5.959 5.959 5.959 Å, 60.00 60.00 60.00°
Positions (direct):
K1 0.000 0.000 0.000
Ca1 0.500 0.500 0.500
Tb1 0.250 0.250 0.250
Sb1 0.750 0.750 0.750
O1 0.514 0.514 0.986
O2 0.514 0.986 0.514
O3 0.514 0.986 0.986
O4 0.986 0.514 0.514
O5 0.986 0.514 0.986
O6 0.986 0.986 0.514

Computed properties:
Total moment: 0.98 Bohr magnetons per cell
ΔE_f (raw): -2.163 eV/atom
Space group: No. 216

***

Here is a relaxed structure of KCaZrSbO6 from Alexandria via LeMat-Bulk. Energies are from PBE.

Cell: 5.778 5.778 5.778 Å, 60.00 60.00 60.00°
Positions (direct):
K1 0.000 0.000 0.000
Ca1 0.500 0.500 0.500
Zr1 0.250 0.250 0.250
Sb1 0.750 0.750 0.750
O1 0.506 0.506 0.994
O2 0.506 0.994 0.506
O3 0.506 0.994 0.994
O4 0.994 0.506 0.506
O5 0.994 0.506 0.994
O6 0.994 0.994 0.506

Computed properties:
Total moment: 0.00 Bohr magnetons per cell
ΔE_f (raw): -2.383 eV/atom
Space group: No. 216

***

Here is a relaxed structure of KCa2ScO4 from Alexandria via LeMat-Bulk. Energies are from PBE.

Cell: 6.862 6.862 6.862 Å, 120.90 120.01 89.22°
Positions (direct):
K1 0.500 0.000 0.000
K2 0.500 0.500 0.500
Ca1 0.000 0.000 0.000
Ca2 0.000 0.000 0.500
Ca3 0.000 0.500 0.000
Ca4 0.500 0.000 0.500
Sc1 0.000 0.500 0.500
Sc2 0.500 0.500 0.000
O1 0.191 0.714 0.476
O2 0.241 0.250 0.509
O3 0.241 0.732 0.991
O4 0.262 0.286 0.976
O5 0.738 0.714 0.024
O6 0.759 0.268 0.009
O7 0.759 0.750 0.491
O8 0.809 0.286 0.524

Computed properties:
Total moment: 0.00 Bohr magnetons per cell
ΔE_f (raw): -2.654 eV/atom
Space group: No. 74

***

Here is a relaxed structure of KCaSc2O from Alexandria via LeMat-Bulk. Energies are from PBE.

Cell: 4.494 4.494 6.043 Å, 90.00 90.00 90.00°
Positions (direct):
K1 0.000 0.000 0.000
Ca1 0.500 0.500 0.000
Sc1 0.000 0.500 0.500
Sc2 0.500 0.000 0.500
O1 0.000 0.000 0.500

Computed properties:
Total moment: 0.00 Bohr magnetons per cell
ΔE_f (raw): -0.666 eV/atom
Space group: No. 123

***

Here is a relaxed structure of KCaScO3 from Alexandria via LeMat-Bulk. Energies are from PBE.

Cell: 6.094 3.614 8.545 Å, 90.00 103.12 90.00°
Positions (direct):
K1 0.137 0.250 0.182
K2 0.863 0.750 0.818
Ca1 0.255 0.750 0.531
Ca2 0.745 0.250 0.469
Sc1 0.373 0.250 0.844
Sc2 0.627 0.750 0.156
O1 0.084 0.250 0.662
O2 0.321 0.750 0.948
O3 0.464 0.750 0.334
O4 0.536 0.250 0.666
O5 0.679 0.250 0.052
O6 0.916 0.750 0.338

Computed properties:
Total moment: 0.00 Bohr magnetons per cell
ΔE_f (raw): -2.746 eV/atom
Space group: No. 11

***

Look up the total moment of the sixth one. 0.14 Bohr magnetons per cell